A geometry-optimized Al2CdPO6 structure. Source: the Alexandria database, functional GGA-PBE.

* SG: C2/c (15)
* E_tot: -133.5 eV for the cell shown
* crystal system: monoclinic
* formation energy (no corrections): -2237 kJ/mol of formula units
* total moment: 0.00 μB/cell

Unit cell a=7.756 b=7.756 c=5.647 alpha=107.37 beta=107.37 gamma=96.58
Element x y z (fractional)
1 Al 0.147 0.309 0.165
2 Al 0.309 0.147 0.665
3 Al 0.691 0.853 0.335
4 Al 0.853 0.691 0.835
5 Cd 0.429 0.571 0.750
6 Cd 0.571 0.429 0.250
7 P 0.245 0.755 0.250
8 P 0.755 0.245 0.750
9 O 0.098 0.755 0.998
10 O 0.206 0.563 0.281
11 O 0.219 0.267 0.461
12 O 0.245 0.902 0.502
13 O 0.267 0.219 0.961
14 O 0.437 0.794 0.219
15 O 0.563 0.206 0.781
16 O 0.733 0.781 0.039
17 O 0.755 0.098 0.498
18 O 0.781 0.733 0.539
19 O 0.794 0.437 0.719
20 O 0.902 0.245 0.002